VASP calculation (PBE-GGA) on a geometry-optimized NbTl2CrCu structure.

Output
Volume = 119.9 Å³/cell
Energy relative to the elements = 1.02 eV/atom
Size of the total moment = 0.111 μB per atom
DOS at the Fermi energy = 0.905 states/eV/atom
Crystal system = tetragonal

CIF file:
```
data_NbTl2CrCu
_chemical_formula_sum 'Nb1 Tl2 Cr1 Cu1'
_symmetry_space_group_name_H-M 'P 4/m m m'
_symmetry_Int_Tables_number 123
_symmetry_space_group_name_Hall '-P 4 2'
_cell_length_a 5.203
_cell_length_b 5.203
_cell_length_c 4.430
_cell_angle_alpha 90.00
_cell_angle_beta 90.00
_cell_angle_gamma 90.00
loop_
_atom_site_label
_atom_site_type_symbol
_atom_site_fract_x
_atom_site_fract_y
_atom_site_fract_z
Nb1 Nb 0.000 0.000 0.000
Tl1 Tl 0.000 0.500 0.500
Cr1 Cr 0.000 0.000 0.500
Cu1 Cu 0.500 0.500 0.000
```